Here is a relaxed structure of Ce2CSe from Alexandria. Energies are from PBE.

DOS(E_F) in states/eV/cell: 29.5
Uncorrected formation energy in eV per atom: -0.899
Space-group type: P2/c (13)

a b c (Å): 5.762 5.766 12.175
angles (deg): 90.00 116.69 90.00
Sites, in units of the cell vectors:
1 Ce 0.092 0.239 0.099
2 Ce 0.092 0.761 0.599
3 Ce 0.331 0.232 0.849
4 Ce 0.331 0.768 0.349
5 Ce 0.669 0.232 0.651
6 Ce 0.669 0.768 0.151
7 Ce 0.908 0.239 0.401
8 Ce 0.908 0.761 0.901
9 C 0.070 0.190 0.624
10 C 0.070 0.810 0.124
11 C 0.930 0.190 0.876
12 C 0.930 0.810 0.376
13 Se 0.382 0.267 0.375
14 Se 0.382 0.733 0.875
15 Se 0.618 0.267 0.125
16 Se 0.618 0.733 0.625